Computed, not measured: a relaxed Pu2MnGe3Ir4 crystal at the GGA-PBE level of DFT.

a = 4.1222 Å, b = 4.1222 Å, c = 10.6767 Å
α = 90.00°, β = 90.00°, γ = 90.00°
Each line ends with the local moment (μB).
Atoms (fractional coordinates):
Pu 0.5000 0.0000 0.2522  5.10
Pu 0.0000 0.5000 0.7478  5.10
Ge 0.0000 0.0000 0.5000  -0.04
Ge 0.5000 0.0000 0.8703  -0.02
Ge 0.0000 0.5000 0.1297  -0.02
Ir 0.5000 0.5000 0.0000  -0.03
Ir 0.0000 0.0000 0.0000  -0.06
Ir 0.0000 0.5000 0.3598  -0.06
Ir 0.5000 0.0000 0.6402  -0.06
Mn 0.5000 0.5000 0.5000  3.32

Results
Its total DFT energy (no corrections) is -9.208 eV per atom. The calculation puts the formation energy at -47.79 kJ/mol of atoms. As for the space group: P-4m2 (115).



Computed, not measured: a relaxed SrAcAu crystal at the GGA-PBE level of DFT.

a = 5.4178 Å, b = 5.4178 Å, c = 5.4178 Å
α = 60.00°, β = 60.00°, γ = 60.00°
Atoms (fractional coordinates):
Ac 0.0000 0.0000 0.0000
Au 0.2500 0.2500 0.2500
Sr 0.5000 0.5000 0.5000

Results
Its total DFT energy (no corrections) is -3.447 eV per atom. The calculation puts the formation energy at -40.95 kJ/mol of atoms. As for the space group: F-43m (216).